# 1
# La2SiSb, relaxed, DFT PBE
# Total magnetization in μB per atom: 0.101
# Formation energy without anion corrections in kJ/mol of atoms: -70.09
# Crystal system: orthorhombic
# ΔE to the lowest computed polymorph in eV/atom: 0.119
# DOS at the Fermi energy in states/eV/f.u.: 3.660
# E in eV per atom: -5.58
data_La2SiSb
_chemical_formula_sum 'La4 Si2 Sb2'
_cell_length_a 6.657
_cell_length_b 8.210
_cell_length_c 4.074
_cell_angle_alpha 90.00
_cell_angle_beta 90.00
_cell_angle_gamma 90.00
_space_group_name_H-M_alt 'C m m m'
_space_group_IT_number 65
_space_group_name_Hall '-C 2 2'
loop_
_atom_site_label
_atom_site_type_symbol
_atom_site_fract_x
_atom_site_fract_y
_atom_site_fract_z
La1 La 0.250 0.250 0.000
Si1 Si 0.000 0.000 0.500
Sb1 Sb 0.000 0.500 0.500

---

# 2
# LaSi2Sb, relaxed, DFT PBE
# Total magnetization in μB per atom: 0.000
# Formation energy without anion corrections in kJ/mol of atoms: -30.02
# Crystal system: monoclinic
# DOS at the Fermi energy in states/eV/f.u.: 1.546
# E in eV per atom: -5.29
data_LaSi2Sb
_chemical_formula_sum 'La2 Si4 Sb2'
_cell_length_a 9.959
_cell_length_b 3.835
_cell_length_c 5.225
_cell_angle_alpha 90.00
_cell_angle_beta 110.11
_cell_angle_gamma 90.00
_space_group_name_H-M_alt 'C 1 m 1'
_space_group_IT_number 8
_space_group_name_Hall 'C -2y'
loop_
_atom_site_label
_atom_site_type_symbol
_atom_site_fract_x
_atom_site_fract_y
_atom_site_fract_z
La1 La 0.000 0.000 0.000
Si1 Si 0.282 0.500 0.323
Si2 Si 0.468 0.000 0.475
Sb1 Sb 0.218 0.000 0.643

---

# 3
# La2SiSb, relaxed, DFT PBE
# Total magnetization in μB per atom: 0.000
# Formation energy without anion corrections in kJ/mol of atoms: -35.62
# Crystal system: trigonal
# ΔE to the lowest computed polymorph in eV/atom: 0.477
# DOS at the Fermi energy in states/eV/f.u.: 2.765
# E in eV per atom: -5.22
data_La2SiSb
_chemical_formula_sum 'La6 Si3 Sb3'
_cell_length_a 5.1272
_cell_length_b 5.1272
_cell_length_c 15.3570
_cell_angle_alpha 90.00
_cell_angle_beta 90.00
_cell_angle_gamma 120.00
_space_group_name_H-M_alt 'R 3 m'
_space_group_IT_number 160
_space_group_name_Hall 'R 3 -2"'
loop_
_atom_site_label
_atom_site_type_symbol
_atom_site_fract_x
_atom_site_fract_y
_atom_site_fract_z
La1 La 0.0000 0.0000 0.0000
La2 La 0.0000 0.0000 0.1894
Si1 Si 0.0000 0.0000 0.4189
Sb1 Sb 0.0000 0.0000 0.7654

---

# 4
# La2SiSb, relaxed, DFT PBE
# Total magnetization in μB per atom: 0.000
# Formation energy without anion corrections in kJ/mol of atoms: -66.53
# Crystal system: tetragonal
# ΔE to the lowest computed polymorph in eV/atom: 0.156
# DOS at the Fermi energy in states/eV/f.u.: 1.862
# E in eV per atom: -5.54
data_La2SiSb
_chemical_formula_sum 'La4 Si2 Sb2'
_cell_length_a 4.530
_cell_length_b 4.530
_cell_length_c 11.045
_cell_angle_alpha 90.00
_cell_angle_beta 90.00
_cell_angle_gamma 90.00
_space_group_name_H-M_alt 'I -4 m 2'
_space_group_IT_number 119
_space_group_name_Hall 'I -4 -2'
loop_
_atom_site_label
_atom_site_type_symbol
_atom_site_fract_x
_atom_site_fract_y
_atom_site_fract_z
La1 La 0.000 0.000 0.000
La2 La 0.000 0.500 0.250
Si1 Si 0.000 0.000 0.500
Sb1 Sb 0.000 0.500 0.750

---

# 5
# La5Si2Sb, relaxed, DFT PBE
# Total magnetization in μB per atom: 0.205
# Formation energy without anion corrections in kJ/mol of atoms: -71.73
# Crystal system: tetragonal
# DOS at the Fermi energy in states/eV/f.u.: 9.007
# E in eV per atom: -5.69
data_La5Si2Sb
_chemical_formula_sum 'La20 Si8 Sb4'
_cell_length_a 8.091
_cell_length_b 8.091
_cell_length_c 14.561
_cell_angle_alpha 90.00
_cell_angle_beta 90.00
_cell_angle_gamma 90.00
_space_group_name_H-M_alt 'I 4/m c m'
_space_group_IT_number 140
_space_group_name_Hall '-I 4 2c'
loop_
_atom_site_label
_atom_site_type_symbol
_atom_site_fract_x
_atom_site_fract_y
_atom_site_fract_z
La1 La 0.000 0.000 0.000
La2 La 0.172 0.328 0.140
Si1 Si 0.117 0.383 0.500
Sb1 Sb 0.000 0.000 0.250

---

# 6
# La2SiSb, relaxed, DFT PBE
# Total magnetization in μB per atom: 0.000
# Formation energy without anion corrections in kJ/mol of atoms: -66.50
# Crystal system: orthorhombic
# ΔE to the lowest computed polymorph in eV/atom: 0.157
# DOS at the Fermi energy in states/eV/f.u.: 3.729
# E in eV per atom: -5.54
data_La2SiSb
_chemical_formula_sum 'La2 Si1 Sb1'
_cell_length_a 4.193
_cell_length_b 4.888
_cell_length_c 5.531
_cell_angle_alpha 90.00
_cell_angle_beta 90.00
_cell_angle_gamma 90.00
_space_group_name_H-M_alt 'P m m m'
_space_group_IT_number 47
_space_group_name_Hall '-P 2 2'
loop_
_atom_site_label
_atom_site_type_symbol
_atom_site_fract_x
_atom_site_fract_y
_atom_site_fract_z
La1 La 0.000 0.000 0.000
La2 La 0.000 0.500 0.500
Si1 Si 0.500 0.000 0.500
Sb1 Sb 0.500 0.500 0.000